1.
# Tb4Hg2H

Tb4Hg2H after structural relaxation (GGA-PBE, the Alexandria database).

a = 8.482 Å, b = 8.482 Å, c = 8.482 Å
α = 147.71°, β = 147.71°, γ = 46.31°
Atoms (fractional coordinates):
Tb 0.000 0.500 0.500
Tb 0.180 0.180 0.000
Tb 0.500 0.000 0.500
Tb 0.820 0.820 0.000
Hg 0.368 0.368 0.000
Hg 0.632 0.632 0.000
H 0.000 0.000 0.000

## Properties
As for the density of states at the Fermi level: 0.6603 states/eV/atom. The total moment is 0.0 μB per cell. The symmetry is I4/mmm.


2.
# Tb4Hg2H

Tb4Hg2H after structural relaxation (GGA-PBE, the Alexandria database).

a = 6.868 Å, b = 6.795 Å, c = 7.881 Å
α = 90.00°, β = 105.88°, γ = 90.00°
Atoms (fractional coordinates):
Tb 0.035 0.006 0.268
Tb 0.035 0.494 0.268
Tb 0.377 0.750 0.078
Tb 0.413 0.750 0.616
Tb 0.587 0.250 0.384
Tb 0.623 0.250 0.922
Tb 0.965 0.506 0.732
Tb 0.965 0.994 0.732
Hg 0.233 0.250 0.031
Hg 0.263 0.250 0.597
Hg 0.737 0.750 0.403
Hg 0.767 0.750 0.969
H 0.203 0.750 0.793
H 0.797 0.250 0.207

## Properties
As for the density of states at the Fermi level: 0.9246 states/eV/atom. The total moment is 0.0 μB per cell. The symmetry is P2_1/m.


How far above the most stable structure does each one sit? In eV/atom: 1 0.047; 2 0.000.